1.
## Cu2Pd2S (GGA-PBE)

Data for Cu2Pd2S after structural relaxation.

Cell: 6.0404 6.0404 3.9654 Å, 90.00 90.00 90.00°
Last column: nearest neighbours and their distance in Å.
Positions (direct):
Cu1 0.1437 0.3563 0.0000  2 S 2.32, 1 Cu 2.46, 2 Pd 2.58
Cu2 0.3563 0.8563 0.0000  2 S 2.32, 1 Cu 2.46, 2 Pd 2.58
Cu3 0.6437 0.1437 0.0000  2 S 2.32, 1 Cu 2.46, 2 Pd 2.58
Cu4 0.8563 0.6437 0.0000  2 S 2.32, 1 Cu 2.46, 2 Pd 2.58
Pd1 0.1635 0.6635 0.5000  6 Cu 2.58-2.72, 1 Pd 2.79
Pd2 0.3365 0.1635 0.5000  6 Cu 2.58-2.72, 1 Pd 2.79
Pd3 0.6635 0.8365 0.5000  6 Cu 2.58-2.72, 1 Pd 2.79
Pd4 0.8365 0.3365 0.5000  6 Cu 2.58-2.72, 1 Pd 2.79
S1 0.0000 0.0000 0.0000  4 Cu 2.32
S2 0.5000 0.5000 0.0000  4 Cu 2.32

The space group is P4/mbm, No. 127. Its total energy is -4.460 eV per atom.



2.
## SrLaW (GGA-PBE)

Data for SrLaW after structural relaxation.

Cell: 7.5679 7.5679 7.5679 Å, 152.48 152.48 39.31°
Last column: nearest neighbours and their distance in Å.
Positions (direct):
Sr1 0.0000 0.0000 0.0000  4 W 3.29, 4 Sr 3.60
La1 0.2619 0.2619 0.0000  4 W 3.03
W1 0.6465 0.6465 0.0000  4 La 3.03, 4 Sr 3.29

As for the formation energy: 2.7 eV/f.u. The space group is I4mm, No. 107. Its total energy is -5.621 eV per atom.



3.
## CaCu2As (GGA-PBE)

Data for CaCu2As after structural relaxation.

Cell: 4.9786 4.9786 4.9786 Å, 130.15 130.15 73.16°
Last column: nearest neighbours and their distance in Å.
Positions (direct):
Ca1 0.0000 0.0000 0.0000  8 Cu 2.90, 4 As 2.97
Cu1 0.2500 0.7500 0.5000  4 As 2.90, 4 Ca 2.90, 4 Cu 2.97
Cu2 0.7500 0.2500 0.5000  4 As 2.90, 4 Ca 2.90, 4 Cu 2.97
As1 0.5000 0.5000 0.0000  8 Cu 2.90, 4 Ca 2.97

As for the formation energy: -0.6 eV/f.u. The space group is I4/mmm, No. 139. Its total energy is -3.863 eV per atom.



4.
## SrMnTc2 (GGA-PBE)

Data for SrMnTc2 after structural relaxation.

Cell: 4.7628 4.7628 3.1958 Å, 90.00 90.00 90.00°
Last column: nearest neighbours and their distance in Å.
Positions (direct):
Sr1 0.0000 0.0000 0.0000  8 Tc 2.87, 2 Sr 3.20
Mn1 0.5000 0.5000 0.0000  8 Tc 2.87, 2 Mn 3.20
Tc1 0.0000 0.5000 0.5000  4 Mn 2.87, 4 Sr 2.87, 2 Tc 3.20
Tc2 0.5000 0.0000 0.5000  4 Mn 2.87, 4 Sr 2.87, 2 Tc 3.20

As for the formation energy: 4.5 eV/f.u. The space group is P4/mmm, No. 123. Its total energy is -6.780 eV per atom.



5.
## Rb2TlSnSe4 (GGA-PBE)

Data for Rb2TlSnSe4 after structural relaxation.

Cell: 13.9873 12.2527 8.3117 Å, 83.36 60.47 36.17°
Last column: nearest neighbours and their distance in Å.
Positions (direct):
Rb1 0.0587 0.0587 0.6913  8 Se 3.70-4.11
Rb2 0.3087 0.3087 0.9413  8 Se 3.70-4.11
Rb3 0.6913 0.6913 0.0587  8 Se 3.70-4.11
Rb4 0.9413 0.9413 0.3087  8 Se 3.70-4.11
Tl1 0.1250 0.1250 0.1250  4 Se 2.71
Tl2 0.8750 0.8750 0.8750  4 Se 2.71
Sn1 0.3750 0.3750 0.3750  4 Se 2.75
Sn2 0.6250 0.6250 0.6250  4 Se 2.75
Se1 0.0436 0.3276 0.4144  1 Tl 2.71, 1 Sn 2.75
Se2 0.2857 0.5856 0.6724  1 Tl 2.71, 1 Sn 2.75
Se3 0.3276 0.0436 0.7143  1 Tl 2.71, 1 Sn 2.75
Se4 0.4144 0.7143 0.0436  1 Tl 2.71, 1 Sn 2.75
Se5 0.5856 0.2857 0.9564  1 Tl 2.71, 1 Sn 2.75
Se6 0.6724 0.9564 0.2857  1 Tl 2.71, 1 Sn 2.75
Se7 0.7143 0.4144 0.3276  1 Tl 2.71, 1 Sn 2.75
Se8 0.9564 0.6724 0.5856  1 Tl 2.71, 1 Sn 2.75

The space group is Fddd, No. 70. Its total energy is -3.393 eV per atom.



6.
## Zr2SbAs2 (GGA-PBE)

Data for Zr2SbAs2 after structural relaxation.

Cell: 7.6714 7.6714 3.5451 Å, 90.00 90.00 90.00°
Last column: nearest neighbours and their distance in Å.
Positions (direct):
Zr1 0.1570 0.3429 0.0000  6 As 2.86-2.87
Zr2 0.3429 0.8430 0.0000  6 As 2.86-2.87
Zr3 0.6570 0.1570 0.0000  6 As 2.86-2.87
Zr4 0.8430 0.6570 0.0000  6 As 2.86-2.87
Sb1 0.0000 0.0000 0.5000  4 As 2.98
Sb2 0.5000 0.5000 0.5000  4 As 2.98
As1 0.1361 0.6361 0.5000  6 Zr 2.86-2.87, 1 As 2.95, 2 Sb 2.98
As2 0.3639 0.1361 0.5000  6 Zr 2.86-2.87, 1 As 2.95, 2 Sb 2.98
As3 0.6361 0.8639 0.5000  6 Zr 2.86-2.87, 1 As 2.95, 2 Sb 2.98
As4 0.8639 0.3639 0.5000  6 Zr 2.86-2.87, 1 As 2.95, 2 Sb 2.98

The space group is P4/mbm, No. 127. Its total energy is -6.680 eV per atom.



7.
## Pu2InPt (GGA-PBE)

Data for Pu2InPt after structural relaxation.

Cell: 3.8686 3.8686 6.2660 Å, 90.00 90.00 90.00°
Last column: nearest neighbours and their distance in Å.
Positions (direct):
Pu1 0.0000 0.0000 0.2269  1 Pu 2.84, 4 Pt 3.08
Pu2 0.0000 0.0000 0.7731  1 Pu 2.84, 4 Pt 3.08
In1 0.5000 0.5000 0.5000  2 Pt 3.13, 8 Pu 3.23
Pt1 0.5000 0.5000 0.0000  8 Pu 3.08, 2 In 3.13

As for the formation energy: -1.8 eV/f.u. The space group is P4/mmm, No. 123. Its total energy is -9.804 eV per atom.



8.
## CoTeBr (GGA-PBE)

Data for CoTeBr after structural relaxation.

Cell: 6.4521 6.4521 7.1463 Å, 101.30 101.30 32.19°
Last column: nearest neighbours and their distance in Å.
Positions (direct):
Co1 0.0000 0.0000 0.0000  2 Br 2.41-2.66, 2 Te 2.64
Co2 0.2314 0.2314 0.0509  3 Br 2.43-2.50, 3 Te 2.52-2.57
Te1 0.3620 0.3620 0.8133  3 Co 2.57-2.64
Te2 0.6217 0.6217 0.8475  4 Co 2.52-2.71
Br1 0.1270 0.1270 0.3042  2 Co 2.41-2.43
Br2 0.8533 0.8533 0.2254  3 Co 2.50-2.66

The space group is Cm, No. 8. Its total energy is -4.086 eV per atom.



What did the seventh record say?
## Pu2InPt (GGA-PBE)

Data for Pu2InPt after structural relaxation.

Cell: 3.8686 3.8686 6.2660 Å, 90.00 90.00 90.00°
Last column: nearest neighbours and their distance in Å.
Positions (direct):
Pu1 0.0000 0.0000 0.2269  1 Pu 2.84, 4 Pt 3.08
Pu2 0.0000 0.0000 0.7731  1 Pu 2.84, 4 Pt 3.08
In1 0.5000 0.5000 0.5000  2 Pt 3.13, 8 Pu 3.23
Pt1 0.5000 0.5000 0.0000  8 Pu 3.08, 2 In 3.13

As for the formation energy: -1.8 eV/f.u. The space group is P4/mmm, No. 123. Its total energy is -9.804 eV per atom.